1.
Material: NaTmPdPt
Method: DFT, PBE
State: relaxed

Properties
**DFT total energy**: -79.0 eV for the cell shown
**Energy of formation from the pure elements**: -683 meV per atom

a b c (Å): 6.746 6.746 6.746
angles (deg): 90.00 90.00 90.00
Space group F-43m (No. 216)
Inequivalent atoms, fractional coordinates:
Na  0.000  0.000  0.000 (multiplicity 4)
Tm  0.000  0.000  0.500 (multiplicity 4)
Pd  0.250  0.250  0.750 (multiplicity 4)
Pt  0.250  0.250  0.250 (multiplicity 4)

---

2.
Material: Na2VPdPt
Method: DFT, PBE
State: relaxed

Properties
**DFT total energy**: -18.1 eV for the cell shown
**Energy of formation from the pure elements**: 969 meV per atom

a b c (Å): 5.306 5.306 4.581
angles (deg): 90.00 90.00 90.00
Space group P4/mmm (No. 123)
Inequivalent atoms, fractional coordinates:
Na  0.000  0.500  0.000 (multiplicity 2)
V  0.000  0.000  0.000 (multiplicity 1)
Pd  0.500  0.500  0.500 (multiplicity 1)
Pt  0.000  0.000  0.500 (multiplicity 1)

---

3.
Material: Na2PdPtW
Method: DFT, PBE
State: relaxed

Properties
**DFT total energy**: -19.4 eV for the cell shown
**Energy of formation from the pure elements**: 1486 meV per atom

a b c (Å): 5.598 5.598 4.746
angles (deg): 90.00 90.00 90.00
Space group P4/mmm (No. 123)
Inequivalent atoms, fractional coordinates:
Na  0.000  0.500  0.000 (multiplicity 2)
Pd  0.000  0.000  0.500 (multiplicity 1)
Pt  0.500  0.500  0.500 (multiplicity 1)
W  0.500  0.500  0.000 (multiplicity 1)

---

4.
Material: NaYPdPt
Method: DFT, PBE
State: relaxed

Properties
**DFT total energy**: -86.4 eV for the cell shown
**Energy of formation from the pure elements**: -645 meV per atom

a b c (Å): 6.826 6.826 6.826
angles (deg): 90.00 90.00 90.00
Space group F-43m (No. 216)
Inequivalent atoms, fractional coordinates:
Na  0.000  0.000  0.000 (multiplicity 4)
Y  0.000  0.000  0.500 (multiplicity 4)
Pd  0.250  0.250  0.750 (multiplicity 4)
Pt  0.250  0.250  0.250 (multiplicity 4)

---

5.
Material: Na2Zn5PdPt2
Method: DFT, PBE
State: relaxed

Properties
**DFT total energy**: -60.5 eV for the cell shown
**Energy of formation from the pure elements**: -396 meV per atom

a b c (Å): 11.128 11.128 2.870
angles (deg): 90.00 90.00 90.00
Space group P4/mbm (No. 127)
Inequivalent atoms, fractional coordinates:
Na  0.174  0.326  0.000 (multiplicity 4)
Zn  0.000  0.500  0.500 (multiplicity 2)
Zn  0.060  0.814  0.500 (multiplicity 8)
Pd  0.000  0.000  0.000 (multiplicity 2)
Pt  0.135  0.635  0.000 (multiplicity 4)

---

6.
Material: NaZnPdPt
Method: DFT, PBE
State: relaxed

Properties
**DFT total energy**: -59.1 eV for the cell shown
**Energy of formation from the pure elements**: -237 meV per atom

a b c (Å): 6.302 6.302 6.302
angles (deg): 90.00 90.00 90.00
Space group F-43m (No. 216)
Inequivalent atoms, fractional coordinates:
Na  0.000  0.000  0.000 (multiplicity 4)
Zn  0.000  0.000  0.500 (multiplicity 4)
Pd  0.250  0.250  0.250 (multiplicity 4)
Pt  0.250  0.250  0.750 (multiplicity 4)

---

7.
Material: NaPu2Pd9
Method: DFT, PBE
State: relaxed

Properties
**DFT total energy**: -81.4 eV for the cell shown
**Energy of formation from the pure elements**: -389 meV per atom

a b c (Å): 4.150 4.150 12.112
angles (deg): 90.00 90.00 90.00
Space group P4/mmm (No. 123)
Inequivalent atoms, fractional coordinates:
Na  0.000  0.000  0.000 (multiplicity 1)
Pu  0.000  0.000  0.327 (multiplicity 2)
Pd  0.000  0.500  0.166 (multiplicity 4)
Pd  0.000  0.500  0.500 (multiplicity 2)
Pd  0.500  0.500  0.000 (multiplicity 1)
Pd  0.500  0.500  0.332 (multiplicity 2)

---

8.
Material: NaPuPd2
Method: DFT, PBE
State: relaxed

Properties
**DFT total energy**: -26.9 eV for the cell shown
**Energy of formation from the pure elements**: -212 meV per atom

a b c (Å): 5.233 5.233 2.957
angles (deg): 90.00 90.00 90.00
Space group P4/mmm (No. 123)
Inequivalent atoms, fractional coordinates:
Na  0.000  0.000  0.000 (multiplicity 1)
Pu  0.500  0.500  0.000 (multiplicity 1)
Pd  0.000  0.500  0.500 (multiplicity 2)

---

9.
Material: NaPuPd2
Method: DFT, PBE
State: relaxed

Properties
**DFT total energy**: -78.2 eV for the cell shown
**Energy of formation from the pure elements**: -9 meV per atom

a b c (Å): 2.9762 2.9762 30.9799
angles (deg): 90.00 90.00 120.00
Space group R-3m (No. 166, hexagonal axes)
Inequivalent atoms, fractional coordinates:
Na  0.0000  0.0000  0.0000 (multiplicity 3)
Pu  0.0000  0.0000  0.5000 (multiplicity 3)
Pd  0.0000  0.0000  0.0880 (multiplicity 6)

---

10.
Material: NaPu4Pd5
Method: DFT, PBE
State: relaxed

Properties
**DFT total energy**: -87.9 eV for the cell shown
**Energy of formation from the pure elements**: -331 meV per atom

a b c (Å): 3.408 3.408 18.456
angles (deg): 90.00 90.00 90.00
Space group P4/mmm (No. 123)
Inequivalent atoms, fractional coordinates:
Na  0.000  0.000  0.000 (multiplicity 1)
Pu  0.000  0.000  0.195 (multiplicity 2)
Pu  0.000  0.000  0.400 (multiplicity 2)
Pd  0.500  0.500  0.102 (multiplicity 2)
Pd  0.500  0.500  0.298 (multiplicity 2)
Pd  0.500  0.500  0.500 (multiplicity 1)

---

11.
Material: NaPu2Pd5
Method: DFT, PBE
State: relaxed

Properties
**DFT total energy**: -117.8 eV for the cell shown
**Energy of formation from the pure elements**: -369 meV per atom

a b c (Å): 6.165 6.165 7.896
angles (deg): 90.00 90.00 90.00
Space group I4mm (No. 107)
Inequivalent atoms, fractional coordinates:
Na  0.000  0.000  0.000 (multiplicity 2)
Pu  0.000  0.500  0.028 (multiplicity 4)
Pd  0.000  0.000  0.536 (multiplicity 2)
Pd  0.240  0.240  0.274 (multiplicity 8)

---

12.
Material: NaPuPd
Method: DFT, PBE
State: relaxed

Properties
**DFT total energy**: -84.1 eV for the cell shown
**Energy of formation from the pure elements**: -65 meV per atom

a b c (Å): 5.127 4.230 12.007
angles (deg): 90.00 93.57 90.00
Space group C2/m (No. 12)
Inequivalent atoms, fractional coordinates:
Na  0.235  0.000  0.371 (multiplicity 4)
Pu  0.201  0.000  0.049 (multiplicity 4)
Pd  0.210  0.500  0.205 (multiplicity 4)

---

13.
Material: NaPuPd4
Method: DFT, PBE
State: relaxed

Properties
**DFT total energy**: -154.4 eV for the cell shown
**Energy of formation from the pure elements**: -364 meV per atom

a b c (Å): 7.666 7.666 7.666
angles (deg): 90.00 90.00 90.00
Space group F-43m (No. 216)
Inequivalent atoms, fractional coordinates:
Na  0.000  0.000  0.000 (multiplicity 4)
Pu  0.250  0.250  0.750 (multiplicity 4)
Pd  0.125  0.125  0.375 (multiplicity 16)

---

14.
Material: NaPuPd2
Method: DFT, PBE
State: relaxed

Properties
**DFT total energy**: -27.1 eV for the cell shown
**Energy of formation from the pure elements**: -256 meV per atom

a b c (Å): 3.296 3.296 7.667
angles (deg): 90.00 90.00 90.00
Space group P4/mmm (No. 123)
Inequivalent atoms, fractional coordinates:
Na  0.000  0.000  0.000 (multiplicity 1)
Pu  0.000  0.000  0.500 (multiplicity 1)
Pd  0.500  0.500  0.260 (multiplicity 2)

---

15.
Material: Na3Pu3PdS8
Method: DFT, PBE
State: relaxed

Properties
**Formation energy without anion corrections**: -18.742 eV/f.u.
**DFT total energy**: -207.8 eV for the cell shown

a b c (Å): 13.506 7.807 8.078
angles (deg): 90.00 123.86 90.00
Space group C2/m (No. 12)
Inequivalent atoms, fractional coordinates:
Na  0.000  0.000  0.000 (multiplicity 2)
Na  0.250  0.250  0.000 (multiplicity 4)
Pu  0.000  0.500  0.500 (multiplicity 2)
Pu  0.250  0.250  0.500 (multiplicity 4)
Pd  0.000  0.000  0.500 (multiplicity 2)
S  0.008  0.238  0.287 (multiplicity 8)
S  0.229  0.000  0.712 (multiplicity 4)
S  0.243  0.500  0.728 (multiplicity 4)

---

16.
Material: NaPuPdS2
Method: DFT, PBE
State: relaxed

Properties
**Formation energy without anion corrections**: -5.137 eV/f.u.
**DFT total energy**: -68.5 eV for the cell shown

a b c (Å): 6.840 4.826 7.458
angles (deg): 90.00 99.72 90.00
Space group P2/c (No. 13)
Inequivalent atoms, fractional coordinates:
Na  0.000  0.139  0.250 (multiplicity 2)
Pu  0.500  0.482  0.750 (multiplicity 2)
Pd  0.500  0.000  0.000 (multiplicity 2)
S  0.230  0.308  0.967 (multiplicity 4)

---

17.
Material: NaPu2Sb2Pd2
Method: DFT, PBE
State: relaxed

Properties
**Formation energy without anion corrections**: -3.404 eV/f.u.
**DFT total energy**: -156.1 eV for the cell shown

a b c (Å): 4.6966 4.6966 27.1988
angles (deg): 90.00 90.00 120.00
Space group R-3m (No. 166, hexagonal axes)
Inequivalent atoms, fractional coordinates:
Na  0.0000  0.0000  0.0000 (multiplicity 3)
Pu  0.0000  0.0000  0.1426 (multiplicity 6)
Sb  0.0000  0.0000  0.2590 (multiplicity 6)
Pd  0.0000  0.0000  0.4398 (multiplicity 6)

---

18.
Material: NaPuTlPd
Method: DFT, PBE
State: relaxed

Properties
**DFT total energy**: -93.0 eV for the cell shown
**Energy of formation from the pure elements**: -10 meV per atom

a b c (Å): 7.277 7.277 7.277
angles (deg): 90.00 90.00 90.00
Space group F-43m (No. 216)
Inequivalent atoms, fractional coordinates:
Na  0.000  0.000  0.000 (multiplicity 4)
Pu  0.000  0.000  0.500 (multiplicity 4)
Tl  0.250  0.250  0.750 (multiplicity 4)
Pd  0.250  0.250  0.250 (multiplicity 4)

---

19.
Material: RbNa2Pd2
Method: DFT, PBE
State: relaxed

Properties
**DFT total energy**: -27.6 eV for the cell shown
**Energy of formation from the pure elements**: 42 meV per atom
**E above lowest polymorph**: 0.0000 eV/atom

a b c (Å): 8.926 8.926 3.057
angles (deg): 90.00 90.00 90.00
Space group P4/mbm (No. 127)
Inequivalent atoms, fractional coordinates:
Rb  0.000  0.000  0.000 (multiplicity 2)
Na  0.123  0.377  0.000 (multiplicity 4)
Pd  0.170  0.670  0.500 (multiplicity 4)

---

20.
Material: RbNaPd4
Method: DFT, PBE
State: relaxed

Properties
**DFT total energy**: -92.2 eV for the cell shown
**Energy of formation from the pure elements**: 2 meV per atom

a b c (Å): 7.868 7.868 7.868
angles (deg): 90.00 90.00 90.00
Space group F-43m (No. 216)
Inequivalent atoms, fractional coordinates:
Rb  0.000  0.000  0.000 (multiplicity 4)
Na  0.250  0.250  0.750 (multiplicity 4)
Pd  0.124  0.124  0.376 (multiplicity 16)